# 1
The following is a DFT calculation (PBE-GGA) of RbSi3Ni after structural relaxation.

Geometry as CIF:
```
data_RbSi3Ni
_chemical_formula_sum 'Rb1 Si3 Ni1'
_symmetry_space_group_name_H-M 'P m -3 m'
_symmetry_Int_Tables_number 221
_symmetry_space_group_name_Hall '-P 4 2 3'
_cell_length_a 5.326
_cell_length_b 5.326
_cell_length_c 5.326
_cell_angle_alpha 90.00
_cell_angle_beta 90.00
_cell_angle_gamma 90.00
loop_
_atom_site_label
_atom_site_type_symbol
_atom_site_fract_x
_atom_site_fract_y
_atom_site_fract_z
Rb1 Rb 0.000 0.000 0.000
Si1 Si 0.000 0.000 0.500
Ni1 Ni 0.500 0.500 0.500
```

- Spin magnetization: 0.00 μB/f.u.
- Offset from the most stable computed form: 2178.4 meV per atom
- ρ: 2.5 g/cm3
- Formation energy from raw total energies: 2.698 eV/atom

---

# 2
The following is a DFT calculation (PBE-GGA) of RbSi2Ni after structural relaxation.

Geometry as CIF:
```
data_RbSi2Ni
_chemical_formula_sum 'Rb4 Si8 Ni4'
_symmetry_space_group_name_H-M 'F m -3 m'
_symmetry_Int_Tables_number 225
_symmetry_space_group_name_Hall '-F 4 2 3'
_cell_length_a 6.714
_cell_length_b 6.714
_cell_length_c 6.714
_cell_angle_alpha 90.00
_cell_angle_beta 90.00
_cell_angle_gamma 90.00
loop_
_atom_site_label
_atom_site_type_symbol
_atom_site_fract_x
_atom_site_fract_y
_atom_site_fract_z
Rb1 Rb 0.000 0.000 0.000
Si1 Si 0.250 0.250 0.250
Ni1 Ni 0.000 0.000 0.500
```

- Spin magnetization: 0.00 μB/f.u.
- Offset from the most stable computed form: 858.1 meV per atom
- ρ: 4.4 g/cm3
- Formation energy from raw total energies: 0.969 eV/atom

---

# 3
The following is a DFT calculation (PBE-GGA) of RbSiNi2 after structural relaxation.

Geometry as CIF:
```
data_RbSiNi2
_chemical_formula_sum 'Rb4 Si4 Ni8'
_symmetry_space_group_name_H-M 'I 41/a m d'
_symmetry_Int_Tables_number 141
_cell_length_a 5.078
_cell_length_b 5.078
_cell_length_c 14.765
_cell_angle_alpha 90.00
_cell_angle_beta 90.00
_cell_angle_gamma 90.00
loop_
_symmetry_equiv_pos_as_xyz
'x,y,z'
'-x,-y,-z'
'-y+1/4,x+3/4,z+1/4'
'y+1/4,-x+3/4,-z+1/4'
'-x+1/2,-y,z+1/2'
'x+1/2,y,-z+1/2'
'y+1/4,-x+1/4,z+3/4'
'-y+1/4,x+1/4,-z+3/4'
'x,-y,-z'
'-x,y,z'
'-y+1/4,-x+1/4,-z+3/4'
'y+1/4,x+1/4,z+3/4'
'-x+1/2,y,-z+1/2'
'x+1/2,-y,z+1/2'
'y+1/4,x+3/4,-z+1/4'
'-y+1/4,-x+3/4,z+1/4'
'x+1/2,y+1/2,z+1/2'
'-x+1/2,-y+1/2,-z+1/2'
'-y+3/4,x+1/4,z+3/4'
'y+3/4,-x+1/4,-z+3/4'
'-x,-y+1/2,z'
'x,y+1/2,-z'
'y+3/4,-x+3/4,z+1/4'
'-y+3/4,x+3/4,-z+1/4'
'x+1/2,-y+1/2,-z+1/2'
'-x+1/2,y+1/2,z+1/2'
'-y+3/4,-x+3/4,-z+1/4'
'y+3/4,x+3/4,z+1/4'
'-x,y+1/2,-z'
'x,-y+1/2,z'
'y+3/4,x+1/4,-z+3/4'
'-y+3/4,-x+1/4,z+3/4'
loop_
_atom_site_label
_atom_site_type_symbol
_atom_site_fract_x
_atom_site_fract_y
_atom_site_fract_z
Rb1 Rb 0.000 0.250 0.375
Si1 Si 0.000 0.250 0.875
Ni1 Ni 0.000 0.000 0.000
```

- Spin magnetization: 0.00 μB/f.u.
- ρ: 4.0 g/cm3
- Formation energy from raw total energies: 0.274 eV/atom